(1)
Here is an optimized crystal structure of Tl2IF from Alexandria via LeMat-Bulk. Energies are from PBE.

a b c (Å): 5.5437 5.5437 4.1255
angles (deg): 90.00 90.00 90.00
With the nearest neighbours (Å) after each atom.
Space group P4/mmm (No. 123)
Unique sites:
Tl: 0.0000 0.5000 0.0000 x2  4 F 3.46, 4 I 3.46
I: 0.0000 0.0000 0.5000 x1  8 Tl 3.46
F: 0.5000 0.5000 0.5000 x1  8 Tl 3.46

Energy above the most stable polymorph in this dataset ... 262 meV/atom
VASP energy ... -2.9828 eV/atom
E_form (uncorrected) ... -0.944 eV/atom


(2)
Here is an optimized crystal structure of PrThSbSe2 from Alexandria via LeMat-Bulk. Energies are from PBE.

a b c (Å): 4.5856 4.5856 14.5928
angles (deg): 90.00 90.00 90.00
With the nearest neighbours (Å) after each atom.
Space group I4mm (No. 107)
Unique sites:
Pr: 0.0000 0.0000 0.0000 x2  4 Se 2.90
Th: 0.0000 0.0000 0.2574 x2  4 Se 2.89
Sb: 0.0000 0.0000 0.6404 x2  4 Th 3.66, 4 Pr 3.84
Se: 0.0000 0.5000 0.3778 x4  2 Th 2.89, 2 Pr 2.90

N(E_F) ... 0.53 states/eV/cell
VASP energy ... -5.8256 eV/atom
E_form (uncorrected) ... -1.167 eV/atom